[1]
First-principles (PBE-GGA) data for crystalline NaIn2Mo at its relaxed geometry, as listed in Alexandria.

Cell lengths 6.967, 6.967, 6.967 Å; angles 90.00, 90.00, 90.00 degrees
Space group Fm-3m (No. 225)
Inequivalent atoms, fractional coordinates:
Na1 0.000 0.000 0.000 [4 per cell]
In1 0.250 0.250 0.250 [8 per cell]
Mo1 0.000 0.000 0.500 [4 per cell]

**DFT total energy**: -3.97 eV/atom

=====

[2]
First-principles (PBE-GGA) data for crystalline V2Pd2Cl at its relaxed geometry, as listed in Alexandria.

Cell lengths 3.804, 3.804, 11.528 Å; angles 90.00, 90.00, 90.00 degrees
Space group I4/mmm (No. 139)
Inequivalent atoms, fractional coordinates:
V1 0.000 0.000 0.085 [4 per cell]
Pd1 0.000 0.500 0.250 [4 per cell]
Cl1 0.000 0.000 0.500 [2 per cell]

**Uncorrected formation energy**: 0.42 eV/atom

=====

[3]
First-principles (PBE-GGA) data for crystalline Dy2BeGa3Cu12 at its relaxed geometry, as listed in Alexandria.

Cell lengths 5.4206, 5.4206, 32.8059 Å; angles 90.00, 90.00, 120.00 degrees
Space group R-3m (No. 166, hexagonal axes)
Inequivalent atoms, fractional coordinates:
Dy1 0.0000 0.0000 0.1436 [6 per cell]
Be1 0.0000 0.0000 0.5000 [3 per cell]
Ga1 0.0000 0.5000 0.0000 [9 per cell]
Cu1 0.0117 0.5059 0.1132 [18 per cell]
Cu2 0.0256 0.5128 0.6089 [18 per cell]

**DFT total energy**: -3.90 eV/atom

=====

[4]
First-principles (PBE-GGA) data for crystalline SbAsAu2 at its relaxed geometry, as listed in Alexandria.

Cell lengths 6.951, 6.951, 6.951 Å; angles 90.00, 90.00, 90.00 degrees
Space group F-43m (No. 216)
Inequivalent atoms, fractional coordinates:
Sb1 0.000 0.000 0.000 [4 per cell]
As1 0.250 0.250 0.750 [4 per cell]
Au1 0.000 0.000 0.500 [4 per cell]
Au2 0.250 0.250 0.250 [4 per cell]

**Uncorrected formation energy**: 0.25 eV/atom

=====

[5]
First-principles (PBE-GGA) data for crystalline Tm3ScPb at its relaxed geometry, as listed in Alexandria.

Cell lengths 8.113, 3.448, 10.322 Å; angles 90.00, 100.26, 90.00 degrees
Space group P2_1/m (No. 11)
Inequivalent atoms, fractional coordinates:
Tm1 0.026 0.250 0.224 [2 per cell]
Tm2 0.183 0.750 0.509 [2 per cell]
Tm3 0.288 0.750 0.052 [2 per cell]
Sc1 0.423 0.250 0.335 [2 per cell]
Pb1 0.328 0.250 0.793 [2 per cell]

**DFT total energy**: -4.84 eV/atom

=====

[6]
First-principles (PBE-GGA) data for crystalline TmScH at its relaxed geometry, as listed in Alexandria.

Cell lengths 3.4432, 3.4432, 5.2671 Å; angles 90.00, 90.00, 120.00 degrees
Space group P3m1 (No. 156)
Inequivalent atoms, fractional coordinates:
Tm1 0.0000 0.0000 0.0000 [1 per cell]
Sc1 0.6667 0.3333 0.5086 [1 per cell]
H1 0.3333 0.6667 0.7412 [1 per cell]

**DFT total energy**: -4.96 eV/atom

=====

[7]
First-principles (PBE-GGA) data for crystalline ZnTc2Sn2 at its relaxed geometry, as listed in Alexandria.

Cell lengths 7.142, 7.142, 3.555 Å; angles 90.00, 90.00, 90.00 degrees
Space group P4/mbm (No. 127)
Inequivalent atoms, fractional coordinates:
Zn1 0.000 0.000 0.000 [2 per cell]
Tc1 0.145 0.355 0.000 [4 per cell]
Sn1 0.155 0.655 0.500 [4 per cell]

**DFT total energy**: -5.88 eV/atom

=====

[8]
First-principles (PBE-GGA) data for crystalline La6Ho3Er at its relaxed geometry, as listed in Alexandria.

Cell lengths 11.6747, 11.6747, 18.2271 Å; angles 90.00, 90.00, 120.00 degrees
Space group R-3m (No. 166, hexagonal axes)
Inequivalent atoms, fractional coordinates:
La1 0.0783 0.5392 0.3277 [18 per cell]
La2 0.0983 0.1965 0.8642 [18 per cell]
Ho1 0.0200 0.5100 0.1150 [18 per cell]
Er1 0.0000 0.0000 0.0000 [3 per cell]
Er2 0.0000 0.0000 0.5000 [3 per cell]

**DFT total energy**: -4.55 eV/atom

=====

[9]
First-principles (PBE-GGA) data for crystalline Tb2PrDy12 at its relaxed geometry, as listed in Alexandria.

Cell lengths 7.112, 11.173, 24.387 Å; angles 90.00, 94.17, 90.00 degrees
Space group C2/m (No. 12)
Inequivalent atoms, fractional coordinates:
Tb1 0.066 0.000 0.273 [4 per cell]
Tb2 0.068 0.500 0.273 [4 per cell]
Pr1 0.250 0.000 0.000 [4 per cell]
Dy1 0.017 0.250 0.075 [8 per cell]
Dy2 0.112 0.251 0.445 [8 per cell]
Dy3 0.142 0.000 0.574 [4 per cell]
Dy4 0.144 0.500 0.573 [4 per cell]
Dy5 0.168 0.251 0.669 [8 per cell]
Dy6 0.201 0.250 0.798 [8 per cell]
Dy7 0.217 0.000 0.862 [4 per cell]
Dy8 0.217 0.500 0.861 [4 per cell]

**DFT total energy**: -4.51 eV/atom

=====

[10]
First-principles (PBE-GGA) data for crystalline Pr3Si2Pd5 at its relaxed geometry, as listed in Alexandria.

Cell lengths 11.516, 12.330, 5.993 Å; angles 90.00, 90.00, 90.00 degrees
Space group Ibam (No. 72)
Inequivalent atoms, fractional coordinates:
Pr1 0.000 0.000 0.250 [4 per cell]
Pr2 0.210 0.386 0.000 [8 per cell]
Si1 0.152 0.147 0.000 [8 per cell]
Pd1 0.000 0.237 0.250 [8 per cell]
Pd2 0.000 0.500 0.250 [4 per cell]
Pd3 0.147 0.365 0.500 [8 per cell]

**Uncorrected formation energy**: -0.58 eV/atom

=====

[11]
First-principles (PBE-GGA) data for crystalline SrGaI3 at its relaxed geometry, as listed in Alexandria.

Cell lengths 8.268, 4.789, 11.961 Å; angles 90.00, 101.81, 90.00 degrees
Space group P2_1/m (No. 11)
Inequivalent atoms, fractional coordinates:
Sr1 0.143 0.250 0.167 [2 per cell]
Ga1 0.283 0.250 0.526 [2 per cell]
I1 0.048 0.750 0.335 [2 per cell]
I2 0.232 0.750 0.999 [2 per cell]
I3 0.485 0.750 0.664 [2 per cell]

**Uncorrected formation energy**: -1.14 eV/atom

=====

[12]
First-principles (PBE-GGA) data for crystalline Ba3LiTe2O8 at its relaxed geometry, as listed in Alexandria.

Cell lengths 5.9567, 5.9567, 8.0459 Å; angles 90.00, 90.00, 120.00 degrees
Space group P-3m1 (No. 164)
Inequivalent atoms, fractional coordinates:
Ba1 0.0000 0.0000 0.0000 [1 per cell]
Ba2 0.3333 0.6667 0.6316 [2 per cell]
Li1 0.0000 0.0000 0.5000 [1 per cell]
Te1 0.3333 0.6667 0.2008 [2 per cell]
O1 0.1690 0.3380 0.3226 [6 per cell]
O2 0.3333 0.6667 0.9413 [2 per cell]

**Uncorrected formation energy**: -1.77 eV/atom